A plane-wave DFT calculation with GGA-PBE was carried out for TeMoP after structural relaxation.

The calculation puts the formation energy (no corrections) at -0.152 eV/atom. The size of the total moment is 0.000 μB/atom.

The space group is P2_1/c (No. 14) and the conventional cell measures 6.325, 6.591 and 6.533 Å, with angles of 90.00, 118.86 and 90.00 degrees. The inequivalent atoms are Te at (0.166, 0.111, 0.347), Mo at (0.277, 0.507, 0.513) and P at (0.353, 0.660, 0.212).